Material: KZn2In
Method: DFT, GGA-PBE
State: relaxed

Values from the calculation:
- Energy: -1.585 eV per atom
- ΔH_f (0 K): 0.011 eV per atom
- Size of the total moment: 0.00 μB/f.u.

a b c (Å): 4.6687 4.6687 18.3361
angles (deg): 90.00 90.00 120.00
Space group R-3m (No. 166, hexagonal axes)
Unique sites:
K 0.0000 0.0000 0.0000 x3
Zn 0.0000 0.0000 0.1981 x6
In 0.0000 0.0000 0.5000 x3